# Nb3TcF, optimized geometry, DFT PBE-GGA
data_Nb3TcF
_space_group_name_H-M_alt 'P m -3 m'
_space_group_IT_number 221
_space_group_name_Hall '-P 4 2 3'
_cell_length_a 4.843
_cell_length_b 4.843
_cell_length_c 4.843
_cell_angle_alpha 90.00
_cell_angle_beta 90.00
_cell_angle_gamma 90.00
loop_
_atom_site_label
_atom_site_type_symbol
_atom_site_fract_x
_atom_site_fract_y
_atom_site_fract_z
Nb1 Nb 0.000 0.000 0.500
Tc1 Tc 0.000 0.000 0.000
F1 F 0.500 0.500 0.500
# Magnetic moment: 0.062 μB/atom
# Total energy: -37.226 eV for the cell shown
# Uncorrected formation energy: 1044 meV/atom
# Polymorph energy (0 for the lowest one): 940 meV per atom
# V: 114 Å³ per cell

# Nb2TcF, optimized geometry, DFT PBE-GGA
data_Nb2TcF
_space_group_name_H-M_alt 'F m -3 m'
_space_group_IT_number 225
_space_group_name_Hall '-F 4 2 3'
_cell_length_a 6.282
_cell_length_b 6.282
_cell_length_c 6.282
_cell_angle_alpha 90.00
_cell_angle_beta 90.00
_cell_angle_gamma 90.00
loop_
_atom_site_label
_atom_site_type_symbol
_atom_site_fract_x
_atom_site_fract_y
_atom_site_fract_z
Nb1 Nb 0.250 0.250 0.250
Tc1 Tc 0.000 0.000 0.000
F1 F 0.000 0.000 0.500
# Magnetic moment: 0.000 μB/atom
# Total energy: -131.565 eV for the cell shown
# Uncorrected formation energy: -129 meV/atom
# Polymorph energy (0 for the lowest one): 117 meV per atom
# V: 248 Å³ per cell

# NbTc2F, optimized geometry, DFT PBE-GGA
data_NbTc2F
_space_group_name_H-M_alt 'I -4 2 d'
_space_group_IT_number 122
_space_group_name_Hall 'I -4 2bw'
_cell_length_a 6.867
_cell_length_b 6.867
_cell_length_c 4.971
_cell_angle_alpha 90.00
_cell_angle_beta 90.00
_cell_angle_gamma 90.00
loop_
_atom_site_label
_atom_site_type_symbol
_atom_site_fract_x
_atom_site_fract_y
_atom_site_fract_z
Nb1 Nb 0.000 0.000 0.000
Tc1 Tc 0.197 0.750 0.625
F1 F 0.000 0.000 0.500
# Magnetic moment: 0.000 μB/atom
# Total energy: -127.203 eV for the cell shown
# Uncorrected formation energy: 218 meV/atom
# Polymorph energy (0 for the lowest one): 0 meV per atom
# V: 234 Å³ per cell

# Nb2TlTcF, optimized geometry, DFT PBE-GGA
data_Nb2TlTcF
_space_group_name_H-M_alt 'P 4/m m m'
_space_group_IT_number 123
_space_group_name_Hall '-P 4 2'
_cell_length_a 4.949
_cell_length_b 4.949
_cell_length_c 4.022
_cell_angle_alpha 90.00
_cell_angle_beta 90.00
_cell_angle_gamma 90.00
loop_
_atom_site_label
_atom_site_type_symbol
_atom_site_fract_x
_atom_site_fract_y
_atom_site_fract_z
Nb1 Nb 0.000 0.500 0.000
Tl1 Tl 0.000 0.000 0.500
Tc1 Tc 0.500 0.500 0.000
F1 F 0.500 0.500 0.500
# Magnetic moment: 0.000 μB/atom
# Total energy: -32.910 eV for the cell shown
# Uncorrected formation energy: 367 meV/atom
# V: 99 Å³ per cell

# Nb2TeF, optimized geometry, DFT PBE-GGA
data_Nb2TeF
_space_group_name_H-M_alt 'I -4 2 d'
_space_group_IT_number 122
_space_group_name_Hall 'I -4 2bw'
_cell_length_a 4.543
_cell_length_b 4.543
_cell_length_c 15.800
_cell_angle_alpha 90.00
_cell_angle_beta 90.00
_cell_angle_gamma 90.00
loop_
_atom_site_label
_atom_site_type_symbol
_atom_site_fract_x
_atom_site_fract_y
_atom_site_fract_z
Nb1 Nb 0.153 0.250 0.125
Te1 Te 0.000 0.000 0.500
F1 F 0.000 0.000 0.000
# Magnetic moment: 0.000 μB/atom
# Total energy: -104.768 eV for the cell shown
# Uncorrected formation energy: -260 meV/atom
# Polymorph energy (0 for the lowest one): 49 meV per atom
# V: 326 Å³ per cell

# NbTe2F, optimized geometry, DFT PBE-GGA
data_NbTe2F
_space_group_name_H-M_alt 'I -4 2 d'
_space_group_IT_number 122
_space_group_name_Hall 'I -4 2bw'
_cell_length_a 6.474
_cell_length_b 6.474
_cell_length_c 11.188
_cell_angle_alpha 90.00
_cell_angle_beta 90.00
_cell_angle_gamma 90.00
loop_
_atom_site_label
_atom_site_type_symbol
_atom_site_fract_x
_atom_site_fract_y
_atom_site_fract_z
Nb1 Nb 0.000 0.000 0.000
Te1 Te 0.243 0.250 0.125
F1 F 0.000 0.000 0.500
# Magnetic moment: 0.000 μB/atom
# Total energy: -78.945 eV for the cell shown
# Uncorrected formation energy: -378 meV/atom
# Polymorph energy (0 for the lowest one): 329 meV per atom
# V: 469 Å³ per cell

# NbTe2F, optimized geometry, DFT PBE-GGA
data_NbTe2F
_space_group_name_H-M_alt 'R -3 m'
_space_group_IT_number 166
_space_group_name_Hall '-R 3 2"'
_cell_length_a 3.7385
_cell_length_b 3.7385
_cell_length_c 24.8677
_cell_angle_alpha 90.00
_cell_angle_beta 90.00
_cell_angle_gamma 120.00
loop_
_atom_site_label
_atom_site_type_symbol
_atom_site_fract_x
_atom_site_fract_y
_atom_site_fract_z
Nb1 Nb 0.0000 0.0000 0.0000
Te1 Te 0.0000 0.0000 0.4055
F1 F 0.0000 0.0000 0.5000
# Magnetic moment: 0.000 μB/atom
# Total energy: -63.160 eV for the cell shown
# Uncorrected formation energy: -707 meV/atom
# Polymorph energy (0 for the lowest one): 0 meV per atom
# V: 301 Å³ per cell

# Nb3TeF, optimized geometry, DFT PBE-GGA
data_Nb3TeF
_space_group_name_H-M_alt 'P m -3 m'
_space_group_IT_number 221
_space_group_name_Hall '-P 4 2 3'
_cell_length_a 4.418
_cell_length_b 4.418
_cell_length_c 4.418
_cell_angle_alpha 90.00
_cell_angle_beta 90.00
_cell_angle_gamma 90.00
loop_
_atom_site_label
_atom_site_type_symbol
_atom_site_fract_x
_atom_site_fract_y
_atom_site_fract_z
Nb1 Nb 0.000 0.000 0.500
Te1 Te 0.500 0.500 0.500
F1 F 0.000 0.000 0.000
# Magnetic moment: 0.000 μB/atom
# Total energy: -34.982 eV for the cell shown
# Uncorrected formation energy: 48 meV/atom
# V: 86 Å³ per cell

# NbTe2F, optimized geometry, DFT PBE-GGA
data_NbTe2F
_space_group_name_H-M_alt 'F m -3 m'
_space_group_IT_number 225
_space_group_name_Hall '-F 4 2 3'
_cell_length_a 6.851
_cell_length_b 6.851
_cell_length_c 6.851
_cell_angle_alpha 90.00
_cell_angle_beta 90.00
_cell_angle_gamma 90.00
loop_
_atom_site_label
_atom_site_type_symbol
_atom_site_fract_x
_atom_site_fract_y
_atom_site_fract_z
Nb1 Nb 0.000 0.000 0.000
Te1 Te 0.250 0.250 0.250
F1 F 0.000 0.000 0.500
# Magnetic moment: 0.224 μB/atom
# Total energy: -80.893 eV for the cell shown
# Uncorrected formation energy: -500 meV/atom
# Polymorph energy (0 for the lowest one): 208 meV per atom
# V: 322 Å³ per cell

# NbTeF3, optimized geometry, DFT PBE-GGA
data_NbTeF3
_space_group_name_H-M_alt 'P m -3 m'
_space_group_IT_number 221
_space_group_name_Hall '-P 4 2 3'
_cell_length_a 4.651
_cell_length_b 4.651
_cell_length_c 4.651
_cell_angle_alpha 90.00
_cell_angle_beta 90.00
_cell_angle_gamma 90.00
loop_
_atom_site_label
_atom_site_type_symbol
_atom_site_fract_x
_atom_site_fract_y
_atom_site_fract_z
Nb1 Nb 0.000 0.000 0.000
Te1 Te 0.500 0.500 0.500
F1 F 0.000 0.500 0.500
# Magnetic moment: 0.717 μB/atom
# Total energy: -20.107 eV for the cell shown
# Uncorrected formation energy: -256 meV/atom
# Polymorph energy (0 for the lowest one): 1162 meV per atom
# V: 101 Å³ per cell

# Nb2TeF, optimized geometry, DFT PBE-GGA
data_Nb2TeF
_space_group_name_H-M_alt 'F m -3 m'
_space_group_IT_number 225
_space_group_name_Hall '-F 4 2 3'
_cell_length_a 6.524
_cell_length_b 6.524
_cell_length_c 6.524
_cell_angle_alpha 90.00
_cell_angle_beta 90.00
_cell_angle_gamma 90.00
loop_
_atom_site_label
_atom_site_type_symbol
_atom_site_fract_x
_atom_site_fract_y
_atom_site_fract_z
Nb1 Nb 0.250 0.250 0.250
Te1 Te 0.000 0.000 0.000
F1 F 0.000 0.000 0.500
# Magnetic moment: 0.232 μB/atom
# Total energy: -105.551 eV for the cell shown
# Uncorrected formation energy: -309 meV/atom
# Polymorph energy (0 for the lowest one): 0 meV per atom
# V: 278 Å³ per cell

# NbTeF3, optimized geometry, DFT PBE-GGA
data_NbTeF3
_space_group_name_H-M_alt 'P m -3 m'
_space_group_IT_number 221
_space_group_name_Hall '-P 4 2 3'
_cell_length_a 4.302
_cell_length_b 4.302
_cell_length_c 4.302
_cell_angle_alpha 90.00
_cell_angle_beta 90.00
_cell_angle_gamma 90.00
loop_
_atom_site_label
_atom_site_type_symbol
_atom_site_fract_x
_atom_site_fract_y
_atom_site_fract_z
Nb1 Nb 0.000 0.000 0.000
Te1 Te 0.500 0.500 0.500
F1 F 0.000 0.000 0.500
# Magnetic moment: 0.000 μB/atom
# Total energy: -25.916 eV for the cell shown
# Uncorrected formation energy: -1418 meV/atom
# Polymorph energy (0 for the lowest one): 0 meV per atom
# V: 80 Å³ per cell